# 1
## In2OsW (GGA-PBEsol)

Data for a relaxed In2OsW crystal.

M_tot: 0.0001 μB per atom
Polymorph energy (0 for the lowest one): 0.021 eV per atom
Energy of formation: 542 meV per atom

CIF file:
```
data_In2OsW
_chemical_formula_sum 'In4 Os2 W2'
_cell_length_a 2.8853
_cell_length_b 4.6963
_cell_length_c 10.9113
_cell_angle_alpha 90.00
_cell_angle_beta 90.00
_cell_angle_gamma 90.00
_symmetry_space_group_name_H-M 'I m m 2'
_symmetry_Int_Tables_number 44
_symmetry_space_group_name_Hall 'I 2 -2'
loop_
_atom_site_label
_atom_site_fract_x
_atom_site_fract_y
_atom_site_fract_z
In1 0.0000 0.0000 0.0000
In2 0.0000 0.5000 0.1951
Os1 0.0000 0.5000 0.7401
W1 0.0000 0.0000 0.4326
```



# 2
## CdP2Os (GGA-PBEsol)

Data for a relaxed CdP2Os crystal.

M_tot: 0.0000 μB per atom
Polymorph energy (0 for the lowest one): 0.000 eV per atom
Energy of formation: 324 meV per atom

CIF file:
```
data_CdP2Os
_chemical_formula_sum 'Cd2 P4 Os2'
_cell_length_a 2.8061
_cell_length_b 4.8988
_cell_length_c 9.8719
_cell_angle_alpha 90.00
_cell_angle_beta 90.00
_cell_angle_gamma 90.00
_symmetry_space_group_name_H-M 'C m m m'
_symmetry_Int_Tables_number 65
_symmetry_space_group_name_Hall '-C 2 2'
loop_
_atom_site_label
_atom_site_fract_x
_atom_site_fract_y
_atom_site_fract_z
Cd1 0.0000 0.0000 0.0000
P1 0.0000 0.5000 0.3020
Os1 0.0000 0.0000 0.5000
```



# 3
## KZrB2 (GGA-PBEsol)

Data for a relaxed KZrB2 crystal.

M_tot: 0.0001 μB per atom
Energy of formation: 1353 meV per atom

CIF file:
```
data_KZrB2
_chemical_formula_sum 'K4 Zr4 B8'
_cell_length_a 6.3071
_cell_length_b 6.3071
_cell_length_c 6.3071
_cell_angle_alpha 90.00
_cell_angle_beta 90.00
_cell_angle_gamma 90.00
_symmetry_space_group_name_H-M 'F m -3 m'
_symmetry_Int_Tables_number 225
_symmetry_space_group_name_Hall '-F 4 2 3'
loop_
_atom_site_label
_atom_site_fract_x
_atom_site_fract_y
_atom_site_fract_z
K1 0.0000 0.0000 0.0000
Zr1 0.0000 0.0000 0.5000
B1 0.2500 0.2500 0.2500
```



# 4
## Ti3TlPb (GGA-PBEsol)

Data for a relaxed Ti3TlPb crystal.

M_tot: 0.4302 μB per atom
Energy of formation: 1084 meV per atom

CIF file:
```
data_Ti3TlPb
_chemical_formula_sum 'Ti3 Tl1 Pb1'
_cell_length_a 5.0534
_cell_length_b 5.0534
_cell_length_c 5.0534
_cell_angle_alpha 90.00
_cell_angle_beta 90.00
_cell_angle_gamma 90.00
_symmetry_space_group_name_H-M 'P m -3 m'
_symmetry_Int_Tables_number 221
_symmetry_space_group_name_Hall '-P 4 2 3'
loop_
_atom_site_label
_atom_site_fract_x
_atom_site_fract_y
_atom_site_fract_z
Ti1 0.0000 0.0000 0.5000
Tl1 0.5000 0.5000 0.5000
Pb1 0.0000 0.0000 0.0000
```



# 5
## HfTiB4 (GGA-PBEsol)

Data for a relaxed HfTiB4 crystal.

M_tot: 0.0000 μB per atom
Energy of formation: -1109 meV per atom

CIF file:
```
data_HfTiB4
_chemical_formula_sum 'Hf1 Ti1 B4'
_cell_length_a 3.0781
_cell_length_b 3.0781
_cell_length_c 6.6290
_cell_angle_alpha 90.00
_cell_angle_beta 90.00
_cell_angle_gamma 120.00
_symmetry_space_group_name_H-M 'P 6/m m m'
_symmetry_Int_Tables_number 191
_symmetry_space_group_name_Hall '-P 6 2'
loop_
_atom_site_label
_atom_site_fract_x
_atom_site_fract_y
_atom_site_fract_z
Hf1 0.0000 0.0000 0.0000
Ti1 0.0000 0.0000 0.5000
B1 0.3333 0.6667 0.2625
```



# 6
## Cu2BiAu (GGA-PBEsol)

Data for a relaxed Cu2BiAu crystal.

M_tot: 0.0000 μB per atom
Energy of formation: 189 meV per atom

CIF file:
```
data_Cu2BiAu
_chemical_formula_sum 'Cu8 Bi4 Au4'
_cell_length_a 6.4635
_cell_length_b 6.4635
_cell_length_c 6.4635
_cell_angle_alpha 90.00
_cell_angle_beta 90.00
_cell_angle_gamma 90.00
_symmetry_space_group_name_H-M 'F m -3 m'
_symmetry_Int_Tables_number 225
_symmetry_space_group_name_Hall '-F 4 2 3'
loop_
_atom_site_label
_atom_site_fract_x
_atom_site_fract_y
_atom_site_fract_z
Cu1 0.2500 0.2500 0.2500
Bi1 0.0000 0.0000 0.0000
Au1 0.0000 0.0000 0.5000
```



# 7
## La2ZnPb (GGA-PBEsol)

Data for a relaxed La2ZnPb crystal.

M_tot: 0.0000 μB per atom
Energy of formation: -437 meV per atom

CIF file:
```
data_La2ZnPb
_chemical_formula_sum 'La2 Zn1 Pb1'
_cell_length_a 3.6148
_cell_length_b 4.2444
_cell_length_c 7.1949
_cell_angle_alpha 90.00
_cell_angle_beta 90.00
_cell_angle_gamma 90.00
_symmetry_space_group_name_H-M 'P m m m'
_symmetry_Int_Tables_number 47
_symmetry_space_group_name_Hall '-P 2 2'
loop_
_atom_site_label
_atom_site_fract_x
_atom_site_fract_y
_atom_site_fract_z
La1 0.0000 0.0000 0.2330
Zn1 0.5000 0.5000 0.0000
Pb1 0.5000 0.5000 0.5000
```



# 8
## Ag2Hg2Te3O12 (GGA-PBEsol)

Data for a relaxed Ag2Hg2Te3O12 crystal.

M_tot: 0.0000 μB per atom
Formation energy (no corrections): -0.6779 eV per atom

CIF file:
```
data_Ag2Hg2Te3O12
_chemical_formula_sum 'Ag4 Hg4 Te6 O24'
_cell_length_a 6.5155
_cell_length_b 6.1355
_cell_length_c 14.3554
_cell_angle_alpha 90.00
_cell_angle_beta 113.87
_cell_angle_gamma 90.00
_symmetry_space_group_name_H-M 'P 1 21/c 1'
_symmetry_Int_Tables_number 14
_symmetry_space_group_name_Hall '-P 2ybc'
loop_
_atom_site_label
_atom_site_fract_x
_atom_site_fract_y
_atom_site_fract_z
Ag1 0.0996 0.1382 0.2937
Hg1 0.2965 0.5402 0.1022
Te1 0.0000 0.0000 0.0000
Te2 0.4039 0.5950 0.3924
O1 0.0020 0.2132 0.4427
O2 0.1134 0.6366 0.4050
O3 0.2511 0.0394 0.7652
O4 0.2973 0.0586 0.1107
O5 0.3907 0.6103 0.8470
O6 0.4470 0.1911 0.9625
```



# 9
## BaCu6P2 (GGA-PBEsol)

Data for a relaxed BaCu6P2 crystal.

M_tot: 0.0000 μB per atom
Energy of formation: -320 meV per atom

CIF file:
```
data_BaCu6P2
_chemical_formula_sum 'Ba1 Cu6 P2'
_cell_length_a 4.0186
_cell_length_b 4.0186
_cell_length_c 8.5869
_cell_angle_alpha 90.00
_cell_angle_beta 90.00
_cell_angle_gamma 90.00
_symmetry_space_group_name_H-M 'P 4/m m m'
_symmetry_Int_Tables_number 123
_symmetry_space_group_name_Hall '-P 4 2'
loop_
_atom_site_label
_atom_site_fract_x
_atom_site_fract_y
_atom_site_fract_z
Ba1 0.0000 0.0000 0.0000
Cu1 0.0000 0.0000 0.5000
Cu2 0.0000 0.5000 0.3282
Cu3 0.5000 0.5000 0.5000
P1 0.5000 0.5000 0.2050
```



# 10
## BeReNi6 (GGA-PBEsol)

Data for a relaxed BeReNi6 crystal.

M_tot: 0.0002 μB per atom
Energy of formation: -81 meV per atom

CIF file:
```
data_BeReNi6
_chemical_formula_sum 'Be8 Re8 Ni48'
_cell_length_a 6.9312
_cell_length_b 9.8798
_cell_length_c 9.9012
_cell_angle_alpha 90.00
_cell_angle_beta 90.00
_cell_angle_gamma 90.00
_symmetry_space_group_name_H-M 'C m m m'
_symmetry_Int_Tables_number 65
_symmetry_space_group_name_Hall '-C 2 2'
loop_
_atom_site_label
_atom_site_fract_x
_atom_site_fract_y
_atom_site_fract_z
Be1 0.0000 0.0000 0.2376
Be2 0.0000 0.2565 0.0000
Re1 0.0000 0.2524 0.5000
Re2 0.0000 0.5000 0.2400
Ni1 0.0000 0.0000 0.0000
Ni2 0.0000 0.0000 0.5000
Ni3 0.0000 0.2495 0.2469
Ni4 0.0000 0.5000 0.0000
Ni5 0.0000 0.5000 0.5000
Ni6 0.2457 0.1238 0.3711
Ni7 0.2455 0.1255 0.1222
```



# 11
## MgTl2Sb (GGA-PBEsol)

Data for a relaxed MgTl2Sb crystal.

M_tot: 0.0000 μB per atom
Polymorph energy (0 for the lowest one): 0.025 eV per atom
Formation energy (no corrections): -0.0479 eV per atom

CIF file:
```
data_MgTl2Sb
_chemical_formula_sum 'Mg2 Tl4 Sb2'
_cell_length_a 4.8644
_cell_length_b 4.8644
_cell_length_c 8.9612
_cell_angle_alpha 90.00
_cell_angle_beta 90.00
_cell_angle_gamma 90.00
_symmetry_space_group_name_H-M 'I -4 m 2'
_symmetry_Int_Tables_number 119
_symmetry_space_group_name_Hall 'I -4 -2'
loop_
_atom_site_label
_atom_site_fract_x
_atom_site_fract_y
_atom_site_fract_z
Mg1 0.0000 0.0000 0.0000
Tl1 0.0000 0.0000 0.5000
Tl2 0.0000 0.5000 0.7500
Sb1 0.0000 0.5000 0.2500
```



# 12
## TlIn2Hg (GGA-PBEsol)

Data for a relaxed TlIn2Hg crystal.

M_tot: 0.0000 μB per atom
Energy of formation: -1 meV per atom

CIF file:
```
data_TlIn2Hg
_chemical_formula_sum 'Tl1 In2 Hg1'
_cell_length_a 3.3951
_cell_length_b 3.3951
_cell_length_c 8.7503
_cell_angle_alpha 90.00
_cell_angle_beta 90.00
_cell_angle_gamma 90.00
_symmetry_space_group_name_H-M 'P 4/m m m'
_symmetry_Int_Tables_number 123
_symmetry_space_group_name_Hall '-P 4 2'
loop_
_atom_site_label
_atom_site_fract_x
_atom_site_fract_y
_atom_site_fract_z
Tl1 0.0000 0.0000 0.0000
In1 0.5000 0.5000 0.2700
Hg1 0.0000 0.0000 0.5000
```



# 13
## Lu2CdHg (GGA-PBEsol)

Data for a relaxed Lu2CdHg crystal.

M_tot: 0.0000 μB per atom
Energy of formation: -451 meV per atom

CIF file:
```
data_Lu2CdHg
_chemical_formula_sum 'Lu8 Cd4 Hg4'
_cell_length_a 7.1776
_cell_length_b 7.1776
_cell_length_c 7.1776
_cell_angle_alpha 90.00
_cell_angle_beta 90.00
_cell_angle_gamma 90.00
_symmetry_space_group_name_H-M 'F m -3 m'
_symmetry_Int_Tables_number 225
_symmetry_space_group_name_Hall '-F 4 2 3'
loop_
_atom_site_label
_atom_site_fract_x
_atom_site_fract_y
_atom_site_fract_z
Lu1 0.2500 0.2500 0.2500
Cd1 0.0000 0.0000 0.0000
Hg1 0.0000 0.0000 0.5000
```



# 14
## NaTeIN2 (GGA-PBEsol)

Data for a relaxed NaTeIN2 crystal.

M_tot: 1.0934 μB per atom
Formation energy (no corrections): 1.7801 eV per atom

CIF file:
```
data_NaTeIN2
_chemical_formula_sum 'Na1 Te1 I1 N2'
_cell_length_a 4.5552
_cell_length_b 4.5552
_cell_length_c 6.1951
_cell_angle_alpha 90.00
_cell_angle_beta 90.00
_cell_angle_gamma 90.00
_symmetry_space_group_name_H-M 'P 4/m m m'
_symmetry_Int_Tables_number 123
_symmetry_space_group_name_Hall '-P 4 2'
loop_
_atom_site_label
_atom_site_fract_x
_atom_site_fract_y
_atom_site_fract_z
Na1 0.0000 0.0000 0.0000
Te1 0.5000 0.5000 0.5000
I1 0.0000 0.0000 0.5000
N1 0.0000 0.5000 0.0000
```



# 15
## NbTcPdN2 (GGA-PBEsol)

Data for a relaxed NbTcPdN2 crystal.

M_tot: 0.0002 μB per atom
Formation energy (no corrections): 0.9057 eV per atom

CIF file:
```
data_NbTcPdN2
_chemical_formula_sum 'Nb1 Tc1 Pd1 N2'
_cell_length_a 3.7653
_cell_length_b 3.7653
_cell_length_c 5.3152
_cell_angle_alpha 90.00
_cell_angle_beta 90.00
_cell_angle_gamma 90.00
_symmetry_space_group_name_H-M 'P 4/m m m'
_symmetry_Int_Tables_number 123
_symmetry_space_group_name_Hall '-P 4 2'
loop_
_atom_site_label
_atom_site_fract_x
_atom_site_fract_y
_atom_site_fract_z
Nb1 0.0000 0.0000 0.0000
Tc1 0.0000 0.0000 0.5000
Pd1 0.5000 0.5000 0.0000
N1 0.0000 0.5000 0.5000
```



# 16
## NaSi2Hg (GGA-PBEsol)

Data for a relaxed NaSi2Hg crystal.

M_tot: 0.0001 μB per atom
Formation energy (no corrections): 0.3311 eV per atom

CIF file:
```
data_NaSi2Hg
_chemical_formula_sum 'Na4 Si8 Hg4'
_cell_length_a 4.1126
_cell_length_b 4.1126
_cell_length_c 19.7096
_cell_angle_alpha 90.00
_cell_angle_beta 90.00
_cell_angle_gamma 90.00
_symmetry_space_group_name_H-M 'I -4 2 d'
_symmetry_Int_Tables_number 122
_symmetry_space_group_name_Hall 'I -4 2bw'
loop_
_atom_site_label
_atom_site_fract_x
_atom_site_fract_y
_atom_site_fract_z
Na1 0.0000 0.0000 0.0000
Si1 0.1711 0.2500 0.6250
Hg1 0.0000 0.0000 0.5000
```



# 17
## LaCdIr2 (GGA-PBEsol)

Data for a relaxed LaCdIr2 crystal.

M_tot: 0.0000 μB per atom
Energy of formation: -160 meV per atom

CIF file:
```
data_LaCdIr2
_chemical_formula_sum 'La2 Cd2 Ir4'
_cell_length_a 4.2707
_cell_length_b 4.1357
_cell_length_c 9.8407
_cell_angle_alpha 90.00
_cell_angle_beta 90.00
_cell_angle_gamma 90.00
_symmetry_space_group_name_H-M 'A m m 2'
_symmetry_Int_Tables_number 38
_symmetry_space_group_name_Hall 'A 2 -2'
loop_
_atom_site_label
_atom_site_fract_x
_atom_site_fract_y
_atom_site_fract_z
La1 0.0000 0.0000 0.0000
Cd1 0.5000 0.0000 0.2989
Ir1 0.0000 0.0000 0.7102
Ir2 0.5000 0.0000 0.5890
```



# 18
## SrCrCu (GGA-PBEsol)

Data for a relaxed SrCrCu crystal.

M_tot: 1.2600 μB per atom
Polymorph energy (0 for the lowest one): 0.017 eV per atom
Energy of formation: 625 meV per atom

CIF file:
```
data_SrCrCu
_chemical_formula_sum 'Sr2 Cr2 Cu2'
_cell_length_a 3.4195
_cell_length_b 3.4195
_cell_length_c 10.8956
_cell_angle_alpha 90.00
_cell_angle_beta 90.00
_cell_angle_gamma 90.00
_symmetry_space_group_name_H-M 'I 4 m m'
_symmetry_Int_Tables_number 107
_symmetry_space_group_name_Hall 'I 4 -2'
loop_
_atom_site_label
_atom_site_fract_x
_atom_site_fract_y
_atom_site_fract_z
Sr1 0.0000 0.0000 0.0000
Cr1 0.0000 0.0000 0.2817
Cu1 0.0000 0.0000 0.7044
```



# 19
## SrH2 (GGA-PBEsol)

Data for a relaxed SrH2 crystal.

M_tot: 0.0000 μB per atom

CIF file:
```
data_SrH2
_chemical_formula_sum 'Sr2 H4'
_cell_length_a 4.0579
_cell_length_b 4.0579
_cell_length_c 5.4839
_cell_angle_alpha 90.00
_cell_angle_beta 90.00
_cell_angle_gamma 120.00
_symmetry_space_group_name_H-M 'P 63/m m c'
_symmetry_Int_Tables_number 194
_symmetry_space_group_name_Hall '-P 6c 2c'
loop_
_atom_site_label
_atom_site_fract_x
_atom_site_fract_y
_atom_site_fract_z
Sr1 0.3333 0.6667 0.2500
H1 0.0000 0.0000 0.0000
H2 0.3333 0.6667 0.7500
```



# 20
## HfSe3O (GGA-PBEsol)

Data for a relaxed HfSe3O crystal.

M_tot: 0.5030 μB per atom
Formation energy (no corrections): 0.2236 eV per atom

CIF file:
```
data_HfSe3O
_chemical_formula_sum 'Hf1 Se3 O1'
_cell_length_a 5.0803
_cell_length_b 5.0803
_cell_length_c 5.0803
_cell_angle_alpha 90.00
_cell_angle_beta 90.00
_cell_angle_gamma 90.00
_symmetry_space_group_name_H-M 'P m -3 m'
_symmetry_Int_Tables_number 221
_symmetry_space_group_name_Hall '-P 4 2 3'
loop_
_atom_site_label
_atom_site_fract_x
_atom_site_fract_y
_atom_site_fract_z
Hf1 0.0000 0.0000 0.0000
Se1 0.0000 0.0000 0.5000
O1 0.5000 0.5000 0.5000
```



| no. | V (Å³ per cell) | total energy (eV per atom) |
| --- | --- | --- |
| 1 | 148 | -7.456 |
| 2 | 136 | -5.925 |
| 3 | 251 | -4.711 |
| 4 | 129 | -5.236 |
| 5 | 54 | -8.924 |
| 6 | 270 | -4.030 |
| 7 | 110 | -4.505 |
| 8 | 525 | -4.958 |
| 9 | 139 | -4.736 |
| 10 | 678 | -6.866 |
| 11 | 212 | -2.932 |
| 12 | 101 | -2.292 |
| 13 | 370 | -3.328 |
| 14 | 129 | -2.969 |
| 15 | 75 | -8.114 |
| 16 | 333 | -3.034 |
| 17 | 174 | -6.708 |
| 18 | 127 | -4.847 |
| 19 | 78 | -3.348 |
| 20 | 131 | -5.237 |